Entry 1:
PBE GaPb3Br, optimized geometry; symmetry = Pm-3m (221); raw formation energy = 4.291 kcal/mol of atoms; energy above the lowest structure with this stoichiometry = 0 meV/atom; electronic total energy = -2.979 eV/atom; total magnetic moment = 0.000 μB per atom
1.0
5.6322 0.0000 0.0000
0.0000 5.6322 0.0000
0.0000 0.0000 5.6322
Ga Pb Br
1 3 1
direct
0.0000 0.0000 0.0000
0.0000 0.0000 0.5000
0.0000 0.5000 0.0000
0.5000 0.0000 0.0000
0.5000 0.5000 0.5000

---

Entry 2:
PBE CsK4AuO, optimized geometry; symmetry = C2/m (12); raw formation energy = -11.833 kcal/mol of atoms; electronic total energy = -2.439 eV/atom; total magnetic moment = 0.000 μB per atom
1.0
7.7749 -5.2615 0.0000
7.7749 5.2615 0.0000
-3.5731 0.0000 8.6021
Cs K Au O
2 8 2 2
direct
0.0222 0.0222 0.2509
0.9778 0.9778 0.7491
0.0906 0.4546 0.8019
0.3513 0.3513 0.5231
0.4453 0.4453 0.1177
0.4546 0.0906 0.8019
0.5454 0.9094 0.1981
0.5547 0.5547 0.8823
0.6487 0.6487 0.4769
0.9094 0.5454 0.1981
0.2056 0.2056 0.0867
0.7944 0.7944 0.9133
0.3775 0.3775 0.8076
0.6225 0.6225 0.1924

---

Entry 3:
PBE CuAs5, optimized geometry; DFT formation energy = 0.26 eV per atom; symmetry = Cm (8); energy above the lowest structure with this stoichiometry = 20 meV/atom; electronic total energy = -4.302 eV/atom; total magnetic moment = 0.000 μB per atom
1.0
6.3360 -1.4811 0.0000
6.3360 1.4811 0.0000
-2.0755 0.0000 7.1031
Cu As
1 5
direct
0.0000 0.0000 0.0000
0.1657 0.1657 0.7589
0.4867 0.4867 0.7233
0.5672 0.5672 0.2740
0.7702 0.7702 0.3279
0.7997 0.7997 0.0101

---

Entry 4:
PBE NiPtSeBr2, optimized geometry; symmetry = P4/mmm (123); raw formation energy = 16.024 kcal/mol of atoms; energy above the lowest structure with this stoichiometry = 7 meV/atom; electronic total energy = -3.036 eV/atom; total magnetic moment = 0.112 μB per atom
1.0
4.7343 0.0000 0.0000
0.0000 4.7343 0.0000
0.0000 0.0000 4.8592
Ni Pt Se Br
1 1 1 2
direct
0.0000 0.0000 0.0000
0.5000 0.5000 0.5000
0.0000 0.0000 0.5000
0.0000 0.5000 0.0000
0.5000 0.0000 0.0000

---

Entry 5:
PBE CeTaNb, optimized geometry; DFT formation energy = 0.18 eV per atom; symmetry = P-1 (2); electronic total energy = -9.107 eV/atom; total magnetic moment = 0.000 μB per atom
1.0
3.0345 0.0000 0.0000
-1.3516 5.5216 0.0000
-1.4754 -1.0709 7.2658
Ce Ta Nb
2 2 2
direct
0.2469 0.4193 0.1593
0.7531 0.5807 0.8407
0.2405 0.7539 0.4929
0.7595 0.2461 0.5071
0.1950 0.0416 0.8135
0.8050 0.9584 0.1865

---

Entry 6:
PBE La3Al3Au8, optimized geometry; DFT formation energy = -0.74 eV per atom; symmetry = C2/m (12); electronic total energy = -4.468 eV/atom; total magnetic moment = 0.000 μB per atom
1.0
8.3910 -2.3311 0.0000
8.3910 2.3311 0.0000
-4.9231 0.0000 7.7000
La Al Au
3 3 8
direct
0.0000 0.0000 0.0000
0.2936 0.2936 0.2637
0.7064 0.7064 0.7363
0.0000 0.0000 0.5000
0.3299 0.3299 0.6640
0.6701 0.6701 0.3360
0.1214 0.1214 0.8342
0.1429 0.1429 0.4354
0.3567 0.3567 0.9649
0.4879 0.4879 0.6585
0.5121 0.5121 0.3415
0.6433 0.6433 0.0351
0.8571 0.8571 0.5646
0.8786 0.8786 0.1658

---

Entry 7:
PBE TaSnSbIr2, optimized geometry; symmetry = P4/mmm (123); raw formation energy = 37.583 kcal/mol of atoms; electronic total energy = -5.910 eV/atom; total magnetic moment = 0.000 μB per atom
1.0
4.8364 0.0000 0.0000
0.0000 4.8364 0.0000
0.0000 0.0000 5.1418
Ta Sn Sb Ir
1 1 1 2
direct
0.0000 0.0000 0.0000
0.0000 0.0000 0.5000
0.5000 0.5000 0.0000
0.0000 0.5000 0.5000
0.5000 0.0000 0.5000

---

Entry 8:
PBE TcMoRh2, optimized geometry; DFT formation energy = -0.13 eV per atom; symmetry = Pmmm (47); energy above the lowest structure with this stoichiometry = 81 meV/atom; electronic total energy = -9.103 eV/atom; total magnetic moment = 0.000 μB per atom
1.0
2.7183 0.0000 0.0000
0.0000 3.9282 0.0000
0.0000 0.0000 5.4541
Tc Mo Rh
1 1 2
direct
0.0000 0.0000 0.0000
0.0000 0.0000 0.5000
0.5000 0.5000 0.2464
0.5000 0.5000 0.7536